Record 1
The following is a DFT calculation (GGA-PBE) of BiSb2S after structural relaxation.

Summary:
V   33.95 Å³/atom
Crystal system   tetragonal
Formation energy from raw total energies   0.1894 eV/atom
Offset from the most stable computed form   0 meV/atom

a = 5.736 Å, b = 5.736 Å, c = 9.199 Å
α = 71.84°, β = 71.84°, γ = 90.00°
Sites, in units of the cell vectors:
Sb  0.375  0.449  0.750
Sb  0.199  0.625  0.250
Sb  0.875  0.801  0.750
Sb  0.551  0.125  0.250
S  0.250  0.750  0.500
S  0.500  0.500  0.000
Bi  0.000  0.000  0.000
Bi  0.750  0.250  0.500

Record 2
The following is a DFT calculation (GGA-PBE) of BiSb3S after structural relaxation.

Summary:
V   28.98 Å³/atom
Crystal system   cubic
Formation energy from raw total energies   0.4230 eV/atom
Offset from the most stable computed form   0 meV/atom

a = 5.252 Å, b = 5.252 Å, c = 5.252 Å
α = 90.00°, β = 90.00°, γ = 90.00°
Sites, in units of the cell vectors:
Sb  0.000  0.500  0.000
Sb  0.000  0.000  0.500
Sb  0.500  0.000  0.000
S  0.000  0.000  0.000
Bi  0.500  0.500  0.500